## HgGeSb (PBE)

Data for crystalline HgGeSb at its relaxed geometry.

Raw formation energy, eV per atom: 0.18
Distance to the lowest polymorph of the same formula, meV per atom: 69
Volume, Å³ per atom: 30.2
E_tot, eV/cell: -16.99

Structure (POSCAR):
```
HgGeSb
1.0
3.739 0.991 -0.179
1.999 8.077 -0.240
-0.305 -0.111 6.429
Sb Ge Hg
2 2 2
Direct
0.367 0.224 0.774
0.843 0.708 0.508
0.164 0.936 0.721
0.656 0.419 0.520
0.929 0.303 0.146
0.482 0.816 0.099
```